The following is a PBE calculation of TbGdAl after structural relaxation, from Alexandria via LeMat-Bulk.

Cell and atoms, written as POSCAR:
```
TbGdAl
1.0
-1.496 1.452 -2.766
2.178 -1.713 -2.078
-4.726 -5.033 2.083
Gd Tb Al
1 1 1
Cartesian
-0.167 -0.196 -0.013
-2.751 -3.238 -0.213
-1.127 -1.859 -2.535
```

- energy of formation (eV per atom) = -0.242
- total moment (μB/f.u.) = 7.17
- DOS(E_F) (states/eV per cell) = 2.44
- energy relative to the lowest polymorph listed for this composition (meV/atom) = 0

The following is a PBE calculation of TbGdAl after structural relaxation, from Alexandria via LeMat-Bulk.

Cell and atoms, written as POSCAR:
```
TbGdAl
1.0
3.565 0.000 0.000
0.000 5.085 0.000
0.000 -2.542 4.404
Gd Tb Al
1 1 1
Cartesian
3.404 0.000 0.000
1.376 0.000 2.936
2.351 2.542 1.468
```

- energy of formation (eV per atom) = -0.152
- total moment (μB/f.u.) = 7.21
- DOS(E_F) (states/eV per cell) = 2.43
- energy relative to the lowest polymorph listed for this composition (meV/atom) = 90

The following is a PBE calculation of TbGdAlTc after structural relaxation, from Alexandria via LeMat-Bulk.

Cell and atoms, written as POSCAR:
```
TbGdAlTc
1.0
5.002 0.000 0.000
2.501 4.332 0.000
2.501 1.444 4.084
Gd Tb Tc Al
1 1 1 1
Cartesian
5.002 2.888 2.042
0.000 0.000 0.000
2.501 1.444 1.021
7.503 4.332 3.063
```

- energy of formation (eV per atom) = -0.120
- total moment (μB/f.u.) = 7.01
- DOS(E_F) (states/eV per cell) = 4.18

The following is a PBE calculation of TbGdThAl after structural relaxation, from Alexandria via LeMat-Bulk.

Cell and atoms, written as POSCAR:
```
TbGdThAl
1.0
-4.556 1.361 -2.563
-2.690 -3.699 -2.874
-4.753 -1.860 1.768
Gd Tb Al Th
1 1 1 1
Cartesian
-3.000 -1.049 -0.917
-5.999 -2.099 -1.835
0.000 0.000 0.000
-8.999 -3.148 -2.752
```

- energy of formation (eV per atom) = -0.018
- total moment (μB/f.u.) = 7.47
- DOS(E_F) (states/eV per cell) = 4.78

The following is a PBE calculation of TbGdTiAl after structural relaxation, from Alexandria via LeMat-Bulk.

Cell and atoms, written as POSCAR:
```
TbGdTiAl
1.0
-1.219 -4.095 2.904
1.727 -4.693 -1.298
3.626 -2.303 2.870
Gd Tb Al Ti
1 1 1 1
Cartesian
3.100 -8.318 3.357
1.033 -2.773 1.119
0.000 0.000 0.000
2.067 -5.545 2.238
```

- energy of formation (eV per atom) = -0.047
- total moment (μB/f.u.) = 9.56
- DOS(E_F) (states/eV per cell) = 5.44

The following is a PBE calculation of TbGdYAl after structural relaxation, from Alexandria via LeMat-Bulk.

Cell and atoms, written as POSCAR:
```
TbGdYAl
1.0
-0.879 2.000 -4.907
-1.375 -3.276 -4.029
-4.987 0.138 -1.991
Y Gd Tb Al
1 1 1 1
Cartesian
-5.431 -0.853 -8.195
-1.810 -0.284 -2.732
-3.621 -0.569 -5.464
0.000 0.000 0.000
```

- energy of formation (eV per atom) = -0.061
- total moment (μB/f.u.) = 8.29
- DOS(E_F) (states/eV per cell) = 5.49

The following is a PBE calculation of TbGdAlZn after structural relaxation, from Alexandria via LeMat-Bulk.

Cell and atoms, written as POSCAR:
```
TbGdAlZn
1.0
5.123 0.000 0.000
2.562 4.437 0.000
2.562 1.479 4.183
Zn Gd Tb Al
1 1 1 1
Cartesian
0.000 0.000 0.000
2.562 1.479 1.046
7.685 4.437 3.137
5.123 2.958 2.092
```

- energy of formation (eV per atom) = -0.368
- total moment (μB/f.u.) = 7.43
- DOS(E_F) (states/eV per cell) = 3.75

The following is a PBE calculation of GdAlTc after structural relaxation, from Alexandria via LeMat-Bulk.

Cell and atoms, written as POSCAR:
```
GdAlTc
1.0
-0.513 1.438 3.420
-1.345 -3.904 1.440
4.238 1.059 0.190
Gd Tc Al
1 1 1
Cartesian
0.174 -1.291 3.303
2.292 -0.355 1.177
-0.085 0.240 0.570
```

- energy of formation (eV per atom) = -0.140
- total moment (μB/f.u.) = 7.10
- DOS(E_F) (states/eV per cell) = 0.93
- energy relative to the lowest polymorph listed for this composition (meV/atom) = 62

The following is a PBE calculation of GdAlTc after structural relaxation, from Alexandria via LeMat-Bulk.

Cell and atoms, written as POSCAR:
```
GdAlTc
1.0
-2.394 -1.659 -1.826
1.101 -2.996 1.278
-2.557 2.771 4.072
Gd Tc Al
1 1 1
Cartesian
-0.034 0.005 0.040
-1.924 -2.151 1.240
-1.893 0.262 2.244
```

- energy of formation (eV per atom) = -0.202
- total moment (μB/f.u.) = 7.17
- DOS(E_F) (states/eV per cell) = 2.96
- energy relative to the lowest polymorph listed for this composition (meV/atom) = 0

The following is a PBE calculation of GdTmAlTc after structural relaxation, from Alexandria via LeMat-Bulk.

Cell and atoms, written as POSCAR:
```
GdTmAlTc
1.0
-3.129 1.927 3.327
-0.191 -1.861 4.590
1.753 2.633 3.816
Gd Tm Tc Al
1 1 1 1
Cartesian
0.000 0.000 0.000
-0.783 1.349 5.867
-0.392 0.675 2.934
-1.175 2.024 8.801
```

- energy of formation (eV per atom) = -0.158
- total moment (μB/f.u.) = 7.05
- DOS(E_F) (states/eV per cell) = 3.70

The following is a PBE calculation of Gd3Al5Te12 after structural relaxation, from Alexandria via LeMat-Bulk.

Cell and atoms, written as POSCAR:
```
Gd3Al5Te12
1.0
-2.391 -0.015 14.681
-1.796 -13.771 -5.330
13.868 4.616 -2.761
Gd Al Te
12 20 48
Cartesian
-0.733 -4.598 8.667
-1.705 -9.764 8.504
6.424 -7.449 -0.217
4.379 0.006 1.969
1.151 -0.580 11.490
1.448 -7.458 1.484
8.234 -1.711 5.107
8.531 -8.589 -4.899
5.303 -9.175 4.622
3.257 -1.721 6.808
11.387 0.594 -1.913
10.415 -4.571 -2.076
2.495 -4.012 -0.854
-0.898 -6.885 -2.665
0.000 0.000 0.000
0.388 -2.871 3.828
5.739 2.301 5.960
-2.093 -6.893 4.676
3.555 -8.599 -3.197
10.117 2.306 7.929
2.285 -6.887 6.645
9.280 1.735 2.769
0.402 -10.905 3.822
4.841 -4.585 3.296
-1.195 -0.007 7.341
6.934 2.308 -1.380
7.397 -2.283 -0.054
-0.435 -11.476 -1.338
6.036 -4.577 -4.045
6.127 -0.571 9.788
9.294 -6.298 2.763
7.187 -5.158 7.445
-1.446 -1.552 9.668
3.961 -5.464 0.781
1.040 -3.860 11.373
0.058 -2.327 6.382
6.694 -6.663 2.960
-0.931 -7.319 10.555
3.542 -8.978 -0.592
-0.143 -12.013 -3.899
6.227 -10.191 1.639
-0.314 -7.274 6.810
2.497 -4.689 8.079
-3.134 -12.395 7.155
5.837 -7.310 -3.445
-0.440 -5.262 3.102
3.381 -10.803 -4.626
6.963 1.015 3.788
2.387 -1.452 -0.248
-1.088 -8.899 2.993
0.414 -11.254 6.431
0.201 -5.286 -0.640
8.325 -9.659 -1.801
3.208 -6.684 4.188
3.749 -8.900 7.502
10.199 -0.261 7.351
6.474 -2.486 2.403
5.933 -0.270 -0.911
-0.517 -8.909 -0.760
9.268 2.084 0.160
1.357 0.490 8.392
9.481 -3.884 7.231
10.770 -0.271 3.598
2.719 -10.184 2.803
7.295 -7.717 6.839
6.301 1.634 11.217
3.845 -1.859 10.037
12.816 3.226 -0.563
10.122 -3.907 3.489
3.455 1.022 4.952
9.995 -1.896 -0.219
7.185 -4.480 -1.488
9.825 2.844 10.490
6.140 -0.192 7.183
9.624 -6.843 0.209
10.613 -1.851 -3.964
2.988 -2.506 3.631
8.642 -5.309 -4.782
5.721 -3.706 5.810
11.128 -7.617 -3.077
```

- total moment (μB/f.u.) = 20.89
- uncorrected formation energy (eV/atom) = -0.76

The following is a PBE calculation of GdTh2Al after structural relaxation, from Alexandria via LeMat-Bulk.

Cell and atoms, written as POSCAR:
```
GdTh2Al
1.0
-2.701 -1.490 1.394
0.043 -0.861 3.273
-5.277 9.842 4.407
Gd Al Th
1 1 2
Cartesian
0.000 0.000 0.000
-3.967 3.746 4.537
-4.042 6.855 3.605
-3.892 0.637 5.469
```

- energy of formation (eV per atom) = 0.181
- total moment (μB/f.u.) = 7.76
- DOS(E_F) (states/eV per cell) = 4.82
- energy relative to the lowest polymorph listed for this composition (meV/atom) = 306

The following is a PBE calculation of Gd2ThAl after structural relaxation, from Alexandria via LeMat-Bulk.

Cell and atoms, written as POSCAR:
```
Gd2ThAl
1.0
3.440 0.000 0.000
1.720 2.979 0.000
1.720 0.993 11.540
Gd Al Th
2 1 1
Cartesian
1.720 0.993 8.103
5.160 2.979 3.436
3.440 1.986 5.770
0.000 0.000 0.000
```

- energy of formation (eV per atom) = 0.115
- total moment (μB/f.u.) = 14.54
- DOS(E_F) (states/eV per cell) = 4.77
- energy relative to the lowest polymorph listed for this composition (meV/atom) = 289

The following is a PBE calculation of GdThAl after structural relaxation, from Alexandria via LeMat-Bulk.

Cell and atoms, written as POSCAR:
```
GdThAl
1.0
3.623 0.000 0.000
0.000 5.118 0.000
0.000 -2.559 4.433
Gd Al Th
1 1 1
Cartesian
3.384 0.000 0.000
2.537 2.559 1.478
1.324 0.000 2.955
```

- energy of formation (eV per atom) = -0.036
- total moment (μB/f.u.) = 7.40
- DOS(E_F) (states/eV per cell) = 3.53
- energy relative to the lowest polymorph listed for this composition (meV/atom) = 117

The following is a PBE calculation of GdTh2Al after structural relaxation, from Alexandria via LeMat-Bulk.

Cell and atoms, written as POSCAR:
```
GdTh2Al
1.0
4.867 0.000 0.000
0.000 4.820 0.000
0.000 0.000 4.820
Gd Al Th
1 1 2
Cartesian
2.433 2.410 2.410
2.433 0.000 0.000
0.000 0.000 2.410
0.000 2.410 0.000
```

- energy of formation (eV per atom) = -0.124
- total moment (μB/f.u.) = 7.18
- DOS(E_F) (states/eV per cell) = 4.54
- energy relative to the lowest polymorph listed for this composition (meV/atom) = 0

The following is a PBE calculation of GdThAl after structural relaxation, from Alexandria via LeMat-Bulk.

Cell and atoms, written as POSCAR:
```
GdThAl
1.0
-0.061 -0.657 3.357
-0.270 -3.346 -0.660
7.223 1.428 -1.331
Gd Al Th
1 1 1
Cartesian
1.182 -2.111 1.352
6.215 -2.520 1.364
4.267 -0.347 0.010
```

- energy of formation (eV per atom) = -0.153
- total moment (μB/f.u.) = 7.42
- DOS(E_F) (states/eV per cell) = 3.67
- energy relative to the lowest polymorph listed for this composition (meV/atom) = 0

The following is a PBE calculation of GdThAl2 after structural relaxation, from Alexandria via LeMat-Bulk.

Cell and atoms, written as POSCAR:
```
GdThAl2
1.0
-1.917 -2.799 -3.957
0.417 -5.195 0.040
-4.239 -2.949 0.707
Gd Al Th
1 2 1
Cartesian
0.000 0.000 0.000
-1.435 -2.736 -0.803
-4.304 -8.208 -2.408
-2.869 -5.472 -1.605
```

- energy of formation (eV per atom) = -0.278
- total moment (μB/f.u.) = 7.13
- DOS(E_F) (states/eV per cell) = 3.11
- energy relative to the lowest polymorph listed for this composition (meV/atom) = 34

The following is a PBE calculation of Gd2ThAl after structural relaxation, from Alexandria via LeMat-Bulk.

Cell and atoms, written as POSCAR:
```
Gd2ThAl
1.0
5.418 0.000 0.000
2.709 4.692 0.000
2.709 1.564 4.424
Gd Al Th
2 1 1
Cartesian
2.709 1.564 1.106
8.127 4.692 3.318
5.418 3.128 2.212
0.000 0.000 0.000
```

- energy of formation (eV per atom) = 0.049
- total moment (μB/f.u.) = 15.86
- DOS(E_F) (states/eV per cell) = 5.86
- energy relative to the lowest polymorph listed for this composition (meV/atom) = 222

The following is a PBE calculation of GdThAl2 after structural relaxation, from Alexandria via LeMat-Bulk.

Cell and atoms, written as POSCAR:
```
GdThAl2
1.0
-0.092 3.549 -0.794
-0.983 1.095 -3.327
-9.305 1.937 1.400
Gd Al Th
1 2 1
Cartesian
0.000 0.000 0.000
-7.831 4.937 -2.026
-2.549 1.643 -0.695
-5.190 3.290 -1.360
```

- energy of formation (eV per atom) = -0.071
- total moment (μB/f.u.) = 7.14
- DOS(E_F) (states/eV per cell) = 4.70
- energy relative to the lowest polymorph listed for this composition (meV/atom) = 242

The following is a PBE calculation of GdTh2Al after structural relaxation, from Alexandria via LeMat-Bulk.

Cell and atoms, written as POSCAR:
```
GdTh2Al
1.0
-3.532 0.675 1.842
0.847 -2.898 2.685
3.101 4.789 4.191
Gd Al Th
1 1 2
Cartesian
0.208 1.283 4.359
-1.343 -1.112 2.264
2.421 3.739 3.272
0.680 1.050 0.919
```

- energy of formation (eV per atom) = -0.043
- total moment (μB/f.u.) = 7.34
- DOS(E_F) (states/eV per cell) = 6.33
- energy relative to the lowest polymorph listed for this composition (meV/atom) = 81

no.,total DFT energy (no corrections) (eV/cell)
1,-23.18
2,-22.91
3,-33.30
4,-29.95
5,-30.54
6,-29.16
7,-25.20
8,-28.61
9,-28.79
10,-33.29
11,-455.09
12,-31.94
13,-38.86
14,-25.35
15,-33.16
16,-25.70
17,-30.10
18,-39.13
19,-29.27
20,-32.84